(1)
The following is a PBE-GGA calculation of crystalline NdMgFe at its relaxed geometry, from Alexandria via LeMat-Bulk.

Cell lengths 13.657, 3.853, 5.364 Å; angles 90.00, 103.01, 90.00 degrees
Space group C2/m (No. 12)
Asymmetric unit:
Nd 0.138 0.000 0.326 x4
Mg 0.081 0.500 0.793 x4
Fe 0.234 0.000 0.911 x4

Output
The crystal system is monoclinic. Its energy of formation is 5 kJ per mole of atoms. As for the calculated volume: 22.92 Å³/atom. For the density of states at the Fermi level, the calculation gives 1.10 states/eV per atom.



(2)
The following is a PBE-GGA calculation of crystalline Mg2FeNi at its relaxed geometry, from Alexandria via LeMat-Bulk.

Cell lengths 9.833, 2.846, 4.601 Å; angles 90.00, 110.04, 90.00 degrees
Space group Cm (No. 8)
Asymmetric unit:
Mg 0.000 0.000 0.000 x2
Mg 0.213 0.000 0.670 x2
Fe 0.451 0.000 0.458 x2
Ni 0.248 0.500 0.198 x2

Output
The crystal system is monoclinic. Its energy of formation is 8 kJ per mole of atoms. As for the calculated volume: 15.12 Å³/atom. For the density of states at the Fermi level, the calculation gives 0.86 states/eV per atom.



(3)
The following is a PBE-GGA calculation of crystalline Mg14FeNi at its relaxed geometry, from Alexandria via LeMat-Bulk.

Cell lengths 9.876, 6.239, 10.707 Å; angles 90.00, 90.00, 90.00 degrees
Space group Amm2 (No. 38)
Asymmetric unit:
Mg 0.000 0.000 0.000 x2
Mg 0.000 0.000 0.499 x2
Mg 0.000 0.250 0.245 x4
Mg 0.253 0.000 0.833 x4
Mg 0.256 0.000 0.331 x4
Mg 0.284 0.247 0.573 x8
Mg 0.500 0.250 0.267 x4
Fe 0.500 0.000 0.991 x2
Ni 0.500 0.000 0.486 x2

Output
The crystal system is orthorhombic. Its distance to the lowest polymorph of the same formula is 0 meV per atom. Its energy of formation is 7 kJ per mole of atoms. As for the calculated volume: 20.62 Å³/atom. For the density of states at the Fermi level, the calculation gives 0.43 states/eV per atom.



(4)
The following is a PBE-GGA calculation of crystalline Mg14FeNi at its relaxed geometry, from Alexandria via LeMat-Bulk.

Cell lengths 6.1911, 6.1911, 9.8057 Å; angles 90.00, 90.00, 120.00 degrees
Space group P-6m2 (No. 187)
Asymmetric unit:
Mg 0.0000 0.0000 0.2482 x2
Mg 0.0171 0.5085 0.2530 x6
Mg 0.3320 0.1660 0.5000 x3
Mg 0.3351 0.1675 0.0000 x3
Fe 0.3333 0.6667 0.0000 x1
Ni 0.3333 0.6667 0.5000 x1

Output
The crystal system is hexagonal. Its distance to the lowest polymorph of the same formula is 3 meV per atom. Its energy of formation is 7 kJ per mole of atoms. As for the calculated volume: 20.34 Å³/atom. For the density of states at the Fermi level, the calculation gives 0.32 states/eV per atom.



(5)
The following is a PBE-GGA calculation of crystalline Mg2FeNi at its relaxed geometry, from Alexandria via LeMat-Bulk.

Cell lengths 3.970, 3.970, 3.739 Å; angles 90.00, 90.00, 90.00 degrees
Space group P4/mmm (No. 123)
Asymmetric unit:
Mg 0.000 0.500 0.000 x2
Fe 0.000 0.000 0.500 x1
Ni 0.500 0.500 0.500 x1

Output
The crystal system is tetragonal. Its energy of formation is 13 kJ per mole of atoms. As for the calculated volume: 14.73 Å³/atom. For the density of states at the Fermi level, the calculation gives 1.15 states/eV per atom.



(6)
The following is a PBE-GGA calculation of crystalline MgFe4Ni at its relaxed geometry, from Alexandria via LeMat-Bulk.

Cell lengths 6.694, 6.694, 6.694 Å; angles 90.00, 90.00, 90.00 degrees
Space group F-43m (No. 216)
Asymmetric unit:
Mg 0.000 0.000 0.000 x4
Fe 0.125 0.125 0.375 x16
Ni 0.250 0.250 0.750 x4

Output
The crystal system is cubic. Its energy of formation is 13 kJ per mole of atoms. As for the calculated volume: 12.50 Å³/atom. For the density of states at the Fermi level, the calculation gives 0.77 states/eV per atom.



(7)
The following is a PBE-GGA calculation of crystalline Mg3FeNi at its relaxed geometry, from Alexandria via LeMat-Bulk.

Cell lengths 4.694, 4.694, 4.694 Å; angles 90.00, 90.00, 90.00 degrees
Space group Pm-3m (No. 221)
Asymmetric unit:
Mg 0.000 0.000 0.500 x3
Fe 0.500 0.500 0.500 x1
Ni 0.000 0.000 0.000 x1

Output
The crystal system is cubic. Its distance to the lowest polymorph of the same formula is 0 meV per atom. Its energy of formation is 55 kJ per mole of atoms. As for the calculated volume: 20.69 Å³/atom. For the density of states at the Fermi level, the calculation gives 1.40 states/eV per atom.



(8)
The following is a PBE-GGA calculation of crystalline Mg2FeNi at its relaxed geometry, from Alexandria via LeMat-Bulk.

Cell lengths 6.977, 6.977, 5.304 Å; angles 90.00, 90.00, 90.00 degrees
Space group I-42d (No. 122)
Asymmetric unit:
Mg 0.232 0.250 0.125 x8
Fe 0.000 0.000 0.500 x4
Ni 0.000 0.000 0.000 x4

Output
The crystal system is tetragonal. Its energy of formation is 43 kJ per mole of atoms. As for the calculated volume: 16.14 Å³/atom. For the density of states at the Fermi level, the calculation gives 0.72 states/eV per atom.



(9)
The following is a PBE-GGA calculation of crystalline MgFeNi at its relaxed geometry, from Alexandria via LeMat-Bulk.

Cell lengths 4.1826, 4.1826, 2.6592 Å; angles 90.00, 90.00, 120.00 degrees
Space group P3m1 (No. 156)
Asymmetric unit:
Mg 0.0000 0.0000 0.0000 x1
Fe 0.3333 0.6667 0.5821 x1
Ni 0.6667 0.3333 0.3913 x1

Output
The crystal system is trigonal. Its distance to the lowest polymorph of the same formula is 50 meV per atom. Its energy of formation is 9 kJ per mole of atoms. As for the calculated volume: 13.43 Å³/atom. For the density of states at the Fermi level, the calculation gives 0.56 states/eV per atom.



(10)
The following is a PBE-GGA calculation of crystalline Mg2FeNi at its relaxed geometry, from Alexandria via LeMat-Bulk.

Cell lengths 5.527, 7.672, 2.776 Å; angles 90.00, 90.00, 90.00 degrees
Space group Cmmm (No. 65)
Asymmetric unit:
Mg 0.250 0.250 0.000 x4
Fe 0.000 0.000 0.500 x2
Ni 0.000 0.500 0.500 x2

Output
The crystal system is orthorhombic. Its energy of formation is 14 kJ per mole of atoms. As for the calculated volume: 14.72 Å³/atom. For the density of states at the Fermi level, the calculation gives 1.10 states/eV per atom.



(11)
The following is a PBE-GGA calculation of crystalline Mg2FeNi at its relaxed geometry, from Alexandria via LeMat-Bulk.

Cell lengths 9.006, 2.796, 4.847 Å; angles 90.00, 101.15, 90.00 degrees
Space group C2/m (No. 12)
Asymmetric unit:
Mg 0.243 0.000 0.245 x4
Fe 0.000 0.000 0.500 x2
Ni 0.000 0.500 0.000 x2

Output
The crystal system is monoclinic. Its energy of formation is 20 kJ per mole of atoms. As for the calculated volume: 14.97 Å³/atom. For the density of states at the Fermi level, the calculation gives 0.54 states/eV per atom.



(12)
The following is a PBE-GGA calculation of crystalline Mg2FeNi at its relaxed geometry, from Alexandria via LeMat-Bulk.

Cell lengths 2.819, 2.819, 7.393 Å; angles 90.00, 90.00, 90.00 degrees
Space group P4/mmm (No. 123)
Asymmetric unit:
Mg 0.000 0.000 0.234 x2
Fe 0.500 0.500 0.500 x1
Ni 0.500 0.500 0.000 x1

Output
The crystal system is tetragonal. Its energy of formation is 7 kJ per mole of atoms. As for the calculated volume: 14.69 Å³/atom. For the density of states at the Fermi level, the calculation gives 0.60 states/eV per atom.